# K2NaBiH

A relaxed structure of K2NaBiH (PBE, the Alexandria database).

## Properties
E_tot	-2.38	eV per atom
V	30.56	A^3/atom
SG	P4/mmm (123)

extended XYZ file:
```
5
Lattice="5.959 0.000 0.000 0.000 5.959 0.000 0.000 0.000 4.302" Properties=species:S:1:pos:R:3 pbc="T T T"
Na 0.000 0.000 2.151
K 0.000 2.980 0.000
K 2.980 0.000 0.000
Bi 2.980 2.980 2.151
H 0.000 0.000 0.000
```